MnINO2 | PBE+U | optimized geometry

The total energy is -5.165 eV/atom. The volume comes out at 12.2 A^3/atom. Its density of states at the Fermi level is 1.9 states/eV/f.u.

It has space group P4/mmm (No. 123), with a = 3.812 Å, b = 3.812 Å, c = 4.182 Å, α = 90.00°, β = 90.00° and γ = 90.00°. The distinct sites, in fractional coordinates, are Mn at (0.000, 0.000, 0.000), I at (0.500, 0.500, 0.500), N at (0.000, 0.000, 0.500) and O at (0.000, 0.500, 0.000).